Entry 1:
# SnRh3

SnRh3 at its PBEsol-relaxed geometry (SCAN, Alexandria via LeMat-Bulk).

Calculated values
Energy relative to the elements   -0.229 eV per atom
M_tot   0.00 μB/atom

Unit cell a=3.9629 b=3.9629 c=4.7035 alpha=114.91 beta=114.91 gamma=90.00
Positions (direct):
Rh (0.2500, 0.7500, 0.5000)
Rh (0.5000, 0.5000, 0.0000)
Rh (0.7500, 0.2500, 0.5000)
Sn (0.0000, 0.0000, 0.0000)


Entry 2:
# SnRh

SnRh at its PBEsol-relaxed geometry (SCAN, Alexandria via LeMat-Bulk).

Calculated values
Energy relative to the elements   -0.432 eV per atom
M_tot   0.00 μB/atom

Unit cell a=5.1230 b=5.1230 c=5.1230 alpha=90.00 beta=90.00 gamma=90.00
Positions (direct):
Rh (0.3545, 0.8545, 0.6455)
Rh (0.1455, 0.1455, 0.1455)
Rh (0.8545, 0.6455, 0.3545)
Rh (0.6455, 0.3545, 0.8545)
Sn (0.8405, 0.8405, 0.8405)
Sn (0.6595, 0.1595, 0.3405)
Sn (0.3405, 0.6595, 0.1595)
Sn (0.1595, 0.3405, 0.6595)


Entry 3:
# SnRh3

SnRh3 at its PBEsol-relaxed geometry (SCAN, Alexandria via LeMat-Bulk).

Calculated values
Energy relative to the elements   -0.235 eV per atom
M_tot   0.00 μB/atom

Unit cell a=4.4372 b=5.5600 c=5.5600 alpha=120.00 beta=90.00 gamma=90.00
Positions (direct):
Rh (0.2500, 0.8373, 0.6745)
Rh (0.2500, 0.3255, 0.1627)
Rh (0.7500, 0.6745, 0.8373)
Rh (0.2500, 0.8373, 0.1627)
Rh (0.7500, 0.1627, 0.3255)
Rh (0.7500, 0.1627, 0.8373)
Sn (0.7500, 0.6667, 0.3333)
Sn (0.2500, 0.3333, 0.6667)


Entry 4:
# Sr3SnRh

Sr3SnRh at its PBEsol-relaxed geometry (SCAN, Alexandria via LeMat-Bulk).

Calculated values
Energy relative to the elements   -0.287 eV per atom
M_tot   0.21 μB/atom

Unit cell a=5.5895 b=5.5895 c=5.5895 alpha=90.00 beta=90.00 gamma=90.00
Last column: magnetic moment on the atom in μB.
Positions (direct):
Sr (0.5000, 0.0000, 0.0000)  0.01
Sr (0.0000, 0.5000, 0.0000)  0.01
Sr (0.0000, 0.0000, 0.5000)  0.01
Rh (0.0000, 0.0000, 0.0000)  0.12
Sn (0.5000, 0.5000, 0.5000)  0.34


Entry 5:
# Tb5Sn18Rh6

Tb5Sn18Rh6 at its PBEsol-relaxed geometry (SCAN, Alexandria via LeMat-Bulk).

Calculated values
Energy relative to the elements   -0.601 eV per atom
M_tot   0.00 μB/atom

Unit cell a=9.7486 b=9.7486 c=9.7486 alpha=60.00 beta=60.00 gamma=60.00
Positions (direct):
Sn (0.5098, 0.8400, 0.1404)
Sn (0.1404, 0.5098, 0.5098)
Sn (0.8400, 0.5098, 0.1404)
Sn (0.1404, 0.8400, 0.5098)
Sn (0.7500, 0.7500, 0.7500)
Sn (0.5098, 0.1404, 0.5098)
Sn (0.5098, 0.5098, 0.1404)
Sn (0.5098, 0.8400, 0.5098)
Sn (0.2619, 0.9127, 0.9127)
Sn (0.9127, 0.9127, 0.2619)
Sn (0.8400, 0.5098, 0.5098)
Sn (0.5098, 0.5098, 0.8400)
Sn (0.5098, 0.1404, 0.8400)
Sn (0.9127, 0.9127, 0.9127)
Sn (0.1404, 0.5098, 0.8400)
Sn (0.2500, 0.2500, 0.2500)
Sn (0.9127, 0.2619, 0.9127)
Sn (0.8400, 0.1404, 0.5098)
Rh (0.7548, 0.2452, 0.2452)
Rh (0.2452, 0.7548, 0.7548)
Rh (0.7548, 0.7548, 0.2452)
Rh (0.7548, 0.2452, 0.7548)
Rh (0.2452, 0.7548, 0.2452)
Rh (0.2452, 0.2452, 0.7548)
Tb (0.5000, 0.5000, 0.5000)
Tb (0.6084, 0.1305, 0.1305)
Tb (0.1305, 0.6084, 0.1305)
Tb (0.1305, 0.1305, 0.6084)
Tb (0.1305, 0.1305, 0.1305)


Entry 6:
# Th3Sn13Rh4

Th3Sn13Rh4 at its PBEsol-relaxed geometry (SCAN, Alexandria via LeMat-Bulk).

Calculated values
Energy relative to the elements   -0.528 eV per atom
M_tot   0.00 μB/atom

Unit cell a=9.6497 b=9.6497 c=9.6497 alpha=90.00 beta=90.00 gamma=90.00
Positions (direct):
Th (0.5000, 0.0000, 0.7500)
Th (0.0000, 0.2500, 0.5000)
Th (0.5000, 0.0000, 0.2500)
Th (0.7500, 0.5000, 0.0000)
Th (0.2500, 0.5000, 0.0000)
Th (0.0000, 0.7500, 0.5000)
Sn (0.0000, 0.3074, 0.8485)
Sn (0.8074, 0.5000, 0.6515)
Sn (0.5000, 0.3485, 0.1926)
Sn (0.1926, 0.5000, 0.3485)
Sn (0.3074, 0.1515, 0.0000)
Sn (0.5000, 0.5000, 0.5000)
Sn (0.5000, 0.6515, 0.8074)
Sn (0.6926, 0.1515, 0.0000)
Sn (0.0000, 0.0000, 0.0000)
Sn (0.0000, 0.3074, 0.1515)
Sn (0.1515, 0.0000, 0.3074)
Sn (0.3485, 0.8074, 0.5000)
Sn (0.8485, 0.0000, 0.6926)
Sn (0.8485, 0.0000, 0.3074)
Sn (0.5000, 0.6515, 0.1926)
Sn (0.0000, 0.6926, 0.8485)
Sn (0.3074, 0.8485, 0.0000)
Sn (0.6515, 0.1926, 0.5000)
Sn (0.6926, 0.8485, 0.0000)
Sn (0.1515, 0.0000, 0.6926)
Sn (0.3485, 0.1926, 0.5000)
Sn (0.6515, 0.8074, 0.5000)
Sn (0.5000, 0.3485, 0.8074)
Sn (0.1926, 0.5000, 0.6515)
Sn (0.8074, 0.5000, 0.3485)
Sn (0.0000, 0.6926, 0.1515)
Rh (0.7500, 0.2500, 0.2500)
Rh (0.2500, 0.7500, 0.2500)
Rh (0.7500, 0.2500, 0.7500)
Rh (0.2500, 0.2500, 0.2500)
Rh (0.7500, 0.7500, 0.7500)
Rh (0.2500, 0.7500, 0.7500)
Rh (0.7500, 0.7500, 0.2500)
Rh (0.2500, 0.2500, 0.7500)


Entry 7:
# ThSnRh

ThSnRh at its PBEsol-relaxed geometry (SCAN, Alexandria via LeMat-Bulk).

Calculated values
Energy relative to the elements   -1.006 eV per atom
M_tot   0.00 μB/atom

Unit cell a=4.0825 b=7.4636 c=7.4636 alpha=120.00 beta=90.00 gamma=90.00
Positions (direct):
Sn (0.5000, 0.7499, 0.0000)
Sn (0.5000, 0.0000, 0.7499)
Sn (0.5000, 0.2501, 0.2501)
Rh (0.5000, 0.6667, 0.3333)
Rh (0.0000, 0.0000, 0.0000)
Rh (0.5000, 0.3333, 0.6667)
Th (0.0000, 0.0000, 0.4135)
Th (0.0000, 0.5865, 0.5865)
Th (0.0000, 0.4135, 0.0000)


Entry 8:
# TiSnRh

TiSnRh at its PBEsol-relaxed geometry (SCAN, Alexandria via LeMat-Bulk).

Calculated values
Energy relative to the elements   -0.717 eV per atom
M_tot   0.30 μB/atom

Unit cell a=4.3090 b=4.3090 c=4.3090 alpha=60.00 beta=60.00 gamma=60.00
Last column: magnetic moment on the atom in μB.
Positions (direct):
Ti (0.0000, 0.0000, 0.0000)  0.62
Sn (0.5000, 0.5000, 0.5000)  0.07
Rh (0.7500, 0.7500, 0.7500)  0.03